A relaxed structure of Ir2Au2O5. Source: the Open Quantum Materials Database, functional PBE.

Cell lengths 10.1631, 3.3146, 3.3146 Å; angles 90.00, 90.00, 90.00 degrees
Site moments in Bohr magnetons follow the coordinates.
Positions (direct):
Ir: 0.5000 0.0000 0.0000  1.25
Ir: 0.0000 0.0000 0.0000  0.01
Au: 0.2837 0.5000 0.5000  0.18
Au: 0.7163 0.5000 0.5000  0.18
O: 0.5000 0.5000 0.5000  0.16
O: 0.8843 0.5000 0.0000  0.15
O: 0.1157 0.5000 0.0000  0.15
O: 0.1157 0.0000 0.5000  0.13
O: 0.8843 0.0000 0.5000  0.13

Calculated values
Relative energy among the computed polymorphs, kJ/mol of atoms: 18.6
E, eV per formula unit: -45.52